*one*
## BaTcPb2 (PBE-GGA)

Data for BaTcPb2 after structural relaxation.

a b c (Å): 4.411 5.310 6.837
angles (deg): 67.26 90.00 90.00
Sites, in units of the cell vectors:
Ba  0.500  0.664  0.796
Pb  0.000  0.003  0.120
Pb  0.500  0.356  0.410
Tc  0.000  0.476  0.174

Computed properties:
**D(E_F)**: 3.61 states/eV per cell
**Crystal system**: monoclinic
**Calculated volume**: 147.7 Å³/cell

---

*two*
## BaTcPb2 (PBE-GGA)

Data for BaTcPb2 after structural relaxation.

a b c (Å): 6.953 6.953 6.953
angles (deg): 39.24 39.24 39.24
Sites, in units of the cell vectors:
Ba  0.250  0.250  0.250
Pb  0.033  0.033  0.033
Pb  0.467  0.467  0.467
Tc  0.750  0.750  0.750

Computed properties:
**D(E_F)**: 3.60 states/eV per cell
**Crystal system**: trigonal
**Calculated volume**: 121.0 Å³/cell

---

*two* takes first place; second place is 135 meV per atom up.

---

*one*
## BaTcPb (PBE-GGA)

Data for BaTcPb after structural relaxation.

a b c (Å): 5.430 5.430 5.430
angles (deg): 60.00 60.00 60.00
Sites, in units of the cell vectors:
Ba  0.750  0.750  0.750
Pb  0.000  0.000  0.000
Tc  0.500  0.500  0.500

Computed properties:
**D(E_F)**: 5.08 states/eV per cell
**Crystal system**: cubic
**Calculated volume**: 113.2 Å³/cell

---

*two*
## BaTcPb (PBE-GGA)

Data for BaTcPb after structural relaxation.

a b c (Å): 3.949 3.949 6.664
angles (deg): 90.00 90.00 120.00
Sites, in units of the cell vectors:
Ba  0.000  0.000  0.965
Pb  0.667  0.333  0.402
Tc  0.333  0.667  0.633

Computed properties:
**D(E_F)**: 1.68 states/eV per cell
**Crystal system**: trigonal
**Calculated volume**: 90.0 Å³/cell

---

*three*
## BaTcPb (PBE-GGA)

Data for BaTcPb after structural relaxation.

a b c (Å): 6.732 6.732 3.691
angles (deg): 74.09 74.09 31.82
Sites, in units of the cell vectors:
Ba  0.008  0.008  0.992
Pb  0.289  0.289  0.711
Tc  0.703  0.703  0.297

Computed properties:
**D(E_F)**: 2.83 states/eV per cell
**Crystal system**: tetragonal
**Calculated volume**: 84.6 Å³/cell

---

*three* takes first place; second place is 186 meV per atom up.

---

*one*
## BaTlTcPb (PBE-GGA)

Data for BaTlTcPb after structural relaxation.

a b c (Å): 5.433 5.330 5.852
angles (deg): 90.00 90.00 90.00
Sites, in units of the cell vectors:
Pb  0.000  0.500  0.500
Tl  0.500  0.000  0.500
Ba  0.000  0.000  0.000
Tc  0.000  0.000  0.500

Computed properties:
**D(E_F)**: 3.48 states/eV per cell
**Crystal system**: orthorhombic
**Calculated volume**: 169.5 Å³/cell

---

*two*
## BaTlTcPb (PBE-GGA)

Data for BaTlTcPb after structural relaxation.

a b c (Å): 6.999 4.023 9.873
angles (deg): 90.00 118.20 90.00
Sites, in units of the cell vectors:
Pb  0.585  0.000  0.213
Pb  0.585  0.500  0.713
Tl  0.292  0.000  0.446
Tl  0.292  0.500  0.946
Ba  0.945  0.000  0.041
Ba  0.945  0.500  0.541
Tc  0.354  0.000  0.765
Tc  0.354  0.500  0.265

Computed properties:
**D(E_F)**: 4.98 states/eV per cell
**Crystal system**: monoclinic
**Calculated volume**: 245.0 Å³/cell

---

*one* takes first place; second place is 35 meV per atom up.

---

*one*
## BaTlTcPb (PBE-GGA)

Data for BaTlTcPb after structural relaxation.

a b c (Å): 3.469 4.567 15.196
angles (deg): 90.00 103.32 90.00
Sites, in units of the cell vectors:
Pb  0.442  0.000  0.648
Pb  0.442  0.500  0.148
Tl  0.607  0.000  0.311
Tl  0.607  0.500  0.811
Ba  0.788  0.000  0.996
Ba  0.788  0.500  0.496
Tc  0.091  0.000  0.797
Tc  0.091  0.500  0.297

Computed properties:
**D(E_F)**: 5.63 states/eV per cell
**Crystal system**: monoclinic
**Calculated volume**: 234.3 Å³/cell

---

*two*
## BaTlTcPb (PBE-GGA)

Data for BaTlTcPb after structural relaxation.

a b c (Å): 4.762 4.762 18.910
angles (deg): 90.00 90.00 120.00
Sites, in units of the cell vectors:
Pb  0.000  0.000  0.677
Pb  0.333  0.667  0.344
Pb  0.667  0.333  0.011
Tl  0.000  0.000  0.919
Tl  0.333  0.667  0.586
Tl  0.667  0.333  0.253
Ba  0.000  0.000  0.129
Ba  0.333  0.667  0.796
Ba  0.667  0.333  0.462
Tc  0.000  0.000  0.312
Tc  0.333  0.667  0.978
Tc  0.667  0.333  0.645

Computed properties:
**D(E_F)**: 15.11 states/eV per cell
**Crystal system**: trigonal
**Calculated volume**: 371.4 Å³/cell

---

*two* takes first place; second place is 7 meV per atom up.

---

*one*
## BaTlTcPb (PBE-GGA)

Data for BaTlTcPb after structural relaxation.

a b c (Å): 3.697 3.697 28.722
angles (deg): 90.00 90.00 120.00
Sites, in units of the cell vectors:
Pb  0.000  0.000  0.832
Pb  0.333  0.667  0.499
Pb  0.667  0.333  0.166
Tl  0.000  0.000  0.963
Tl  0.333  0.667  0.629
Tl  0.667  0.333  0.296
Ba  0.000  0.000  0.395
Ba  0.333  0.667  0.062
Ba  0.667  0.333  0.728
Tc  0.000  0.000  0.563
Tc  0.333  0.667  0.230
Tc  0.667  0.333  0.897

Computed properties:
**D(E_F)**: 8.85 states/eV per cell
**Crystal system**: trigonal
**Calculated volume**: 340.0 Å³/cell

---

*two*
## BaTlTcPb (PBE-GGA)

Data for BaTlTcPb after structural relaxation.

a b c (Å): 3.571 3.571 8.254
angles (deg): 90.00 90.00 90.00
Sites, in units of the cell vectors:
Pb  0.000  0.500  0.039
Tl  0.000  0.500  0.417
Ba  0.500  0.000  0.722
Tc  0.500  0.000  0.216

Computed properties:
**D(E_F)**: 2.50 states/eV per cell
**Crystal system**: tetragonal
**Calculated volume**: 105.2 Å³/cell

---

*three*
## BaTlTcPb (PBE-GGA)

Data for BaTlTcPb after structural relaxation.

a b c (Å): 4.842 5.119 10.719
angles (deg): 90.00 90.00 90.00
Sites, in units of the cell vectors:
Pb  0.000  0.500  0.349
Pb  0.500  0.000  0.849
Tl  0.000  0.500  0.035
Tl  0.500  0.000  0.535
Ba  0.000  0.500  0.696
Ba  0.500  0.000  0.196
Tc  0.000  0.000  0.953
Tc  0.500  0.500  0.453

Computed properties:
**D(E_F)**: 7.60 states/eV per cell
**Crystal system**: orthorhombic
**Calculated volume**: 265.7 Å³/cell

---

*two* takes first place; second place is 14 meV per atom up.

---

*one*
## BaTlTcPb (PBE-GGA)

Data for BaTlTcPb after structural relaxation.

a b c (Å): 7.144 3.918 9.719
angles (deg): 90.00 113.78 90.00
Sites, in units of the cell vectors:
Pb  0.896  0.000  0.845
Pb  0.896  0.500  0.345
Tl  0.595  0.000  0.051
Tl  0.595  0.500  0.551
Ba  0.252  0.000  0.241
Ba  0.252  0.500  0.741
Tc  0.870  0.000  0.545
Tc  0.870  0.500  0.045

Computed properties:
**D(E_F)**: 3.96 states/eV per cell
**Crystal system**: monoclinic
**Calculated volume**: 248.9 Å³/cell

---

*two*
## BaTlTcPb (PBE-GGA)

Data for BaTlTcPb after structural relaxation.

a b c (Å): 5.258 5.292 12.165
angles (deg): 90.00 115.32 90.00
Sites, in units of the cell vectors:
Pb  0.284  0.000  0.276
Pb  0.284  0.500  0.776
Tl  0.774  0.000  0.764
Tl  0.774  0.500  0.264
Ba  0.526  0.000  0.016
Ba  0.526  0.500  0.516
Tc  0.810  0.000  0.302
Tc  0.810  0.500  0.802

Computed properties:
**D(E_F)**: 6.66 states/eV per cell
**Crystal system**: monoclinic
**Calculated volume**: 305.9 Å³/cell

---

*one* takes first place; second place is 45 meV per atom up.